No. 1
# Hf3GaHg

Crystalline Hf3GaHg at its relaxed geometry (PBE, Alexandria via LeMat-Bulk).

Offset from the most stable computed form in eV per atom: 0.435

```
data_Hf3GaHg
_chemical_formula_sum 'Hf3 Ga1 Hg1'
_cell_length_a 4.944
_cell_length_b 4.944
_cell_length_c 4.944
_cell_angle_alpha 90.00
_cell_angle_beta 90.00
_cell_angle_gamma 90.00
_symmetry_space_group_name_H-M 'P m -3 m'
_symmetry_Int_Tables_number 221
_symmetry_space_group_name_Hall '-P 4 2 3'
loop_
_atom_site_label
_atom_site_type_symbol
_atom_site_fract_x
_atom_site_fract_y
_atom_site_fract_z
Hf1 Hf 0.000 0.000 0.500
Ga1 Ga 0.000 0.000 0.000
Hg1 Hg 0.500 0.500 0.500
```

***

No. 2
# HfGaHg3

Crystalline HfGaHg3 at its relaxed geometry (PBE, Alexandria via LeMat-Bulk).

Offset from the most stable computed form in eV per atom: 0.062

```
data_HfGaHg3
_chemical_formula_sum 'Hf1 Ga1 Hg3'
_cell_length_a 5.031
_cell_length_b 5.031
_cell_length_c 5.031
_cell_angle_alpha 90.00
_cell_angle_beta 90.00
_cell_angle_gamma 90.00
_symmetry_space_group_name_H-M 'P m -3 m'
_symmetry_Int_Tables_number 221
_symmetry_space_group_name_Hall '-P 4 2 3'
loop_
_atom_site_label
_atom_site_type_symbol
_atom_site_fract_x
_atom_site_fract_y
_atom_site_fract_z
Hf1 Hf 0.000 0.000 0.000
Ga1 Ga 0.500 0.500 0.500
Hg1 Hg 0.000 0.500 0.500
```

***

No. 3
# HfGaHg3

Crystalline HfGaHg3 at its relaxed geometry (PBE, Alexandria via LeMat-Bulk).

Offset from the most stable computed form in eV per atom: 0.000

```
data_HfGaHg3
_chemical_formula_sum 'Hf1 Ga1 Hg3'
_cell_length_a 5.570
_cell_length_b 5.570
_cell_length_c 5.570
_cell_angle_alpha 90.00
_cell_angle_beta 90.00
_cell_angle_gamma 90.00
_symmetry_space_group_name_H-M 'P m -3 m'
_symmetry_Int_Tables_number 221
_symmetry_space_group_name_Hall '-P 4 2 3'
loop_
_atom_site_label
_atom_site_type_symbol
_atom_site_fract_x
_atom_site_fract_y
_atom_site_fract_z
Hf1 Hf 0.000 0.000 0.000
Ga1 Ga 0.500 0.500 0.500
Hg1 Hg 0.000 0.000 0.500
```

***

No. 4
# Hf7Ga2Hg2

Crystalline Hf7Ga2Hg2 at its relaxed geometry (PBE, Alexandria via LeMat-Bulk).

```
data_Hf7Ga2Hg2
_chemical_formula_sum 'Hf14 Ga4 Hg4'
_cell_length_a 10.742
_cell_length_b 8.516
_cell_length_c 5.208
_cell_angle_alpha 90.00
_cell_angle_beta 98.79
_cell_angle_gamma 90.00
_symmetry_space_group_name_H-M 'C 1 2/m 1'
_symmetry_Int_Tables_number 12
loop_
_symmetry_equiv_pos_as_xyz
'x,y,z'
'-x,-y,-z'
'-x,y,-z'
'x,-y,z'
'x+1/2,y+1/2,z'
'-x+1/2,-y+1/2,-z'
'-x+1/2,y+1/2,-z'
'x+1/2,-y+1/2,z'
loop_
_atom_site_label
_atom_site_type_symbol
_atom_site_fract_x
_atom_site_fract_y
_atom_site_fract_z
Hf1 Hf 0.000 0.000 0.000
Hf2 Hf 0.053 0.500 0.266
Hf3 Hf 0.239 0.334 0.754
Ga1 Ga 0.200 0.000 0.728
Hg1 Hg 0.000 0.193 0.500
```

***

No. 5
# Hf2Ga4Hg

Crystalline Hf2Ga4Hg at its relaxed geometry (PBE, Alexandria via LeMat-Bulk).

```
data_Hf2Ga4Hg
_chemical_formula_sum 'Hf4 Ga8 Hg2'
_cell_length_a 5.072
_cell_length_b 5.072
_cell_length_c 13.550
_cell_angle_alpha 90.00
_cell_angle_beta 90.00
_cell_angle_gamma 90.00
_symmetry_space_group_name_H-M 'I 4/m m m'
_symmetry_Int_Tables_number 139
_symmetry_space_group_name_Hall '-I 4 2'
loop_
_atom_site_label
_atom_site_type_symbol
_atom_site_fract_x
_atom_site_fract_y
_atom_site_fract_z
Hf1 Hf 0.000 0.000 0.103
Ga1 Ga 0.000 0.000 0.305
Ga2 Ga 0.000 0.500 0.000
Hg1 Hg 0.000 0.000 0.500
```

***

No. 6
# HfGa3Hg

Crystalline HfGa3Hg at its relaxed geometry (PBE, Alexandria via LeMat-Bulk).

Offset from the most stable computed form in eV per atom: 0.269

```
data_HfGa3Hg
_chemical_formula_sum 'Hf1 Ga3 Hg1'
_cell_length_a 5.024
_cell_length_b 5.024
_cell_length_c 5.024
_cell_angle_alpha 90.00
_cell_angle_beta 90.00
_cell_angle_gamma 90.00
_symmetry_space_group_name_H-M 'P m -3 m'
_symmetry_Int_Tables_number 221
_symmetry_space_group_name_Hall '-P 4 2 3'
loop_
_atom_site_label
_atom_site_type_symbol
_atom_site_fract_x
_atom_site_fract_y
_atom_site_fract_z
Hf1 Hf 0.000 0.000 0.000
Ga1 Ga 0.000 0.500 0.500
Hg1 Hg 0.500 0.500 0.500
```

***

No. 7
# Hf3GaHg

Crystalline Hf3GaHg at its relaxed geometry (PBE, Alexandria via LeMat-Bulk).

Offset from the most stable computed form in eV per atom: 0.000

```
data_Hf3GaHg
_chemical_formula_sum 'Hf24 Ga8 Hg8'
_cell_length_a 10.624
_cell_length_b 7.078
_cell_length_c 11.903
_cell_angle_alpha 90.00
_cell_angle_beta 100.30
_cell_angle_gamma 90.00
_symmetry_space_group_name_H-M 'C 1 2/c 1'
_symmetry_Int_Tables_number 15
loop_
_symmetry_equiv_pos_as_xyz
'x,y,z'
'-x,-y,-z'
'-x,y,-z+1/2'
'x,-y,z+1/2'
'x+1/2,y+1/2,z'
'-x+1/2,-y+1/2,-z'
'-x+1/2,y+1/2,-z+1/2'
'x+1/2,-y+1/2,z+1/2'
loop_
_atom_site_label
_atom_site_type_symbol
_atom_site_fract_x
_atom_site_fract_y
_atom_site_fract_z
Hf1 Hf 0.010 0.205 0.030
Hf2 Hf 0.135 0.048 0.819
Hf3 Hf 0.230 0.402 0.406
Ga1 Ga 0.000 0.288 0.250
Ga2 Ga 0.250 0.250 0.000
Hg1 Hg 0.108 0.407 0.669
```

***

No. 8
# HfGa3Hg

Crystalline HfGa3Hg at its relaxed geometry (PBE, Alexandria via LeMat-Bulk).

Offset from the most stable computed form in eV per atom: 0.000

```
data_HfGa3Hg
_chemical_formula_sum 'Hf1 Ga3 Hg1'
_cell_length_a 5.318
_cell_length_b 5.318
_cell_length_c 5.318
_cell_angle_alpha 90.00
_cell_angle_beta 90.00
_cell_angle_gamma 90.00
_symmetry_space_group_name_H-M 'P m -3 m'
_symmetry_Int_Tables_number 221
_symmetry_space_group_name_Hall '-P 4 2 3'
loop_
_atom_site_label
_atom_site_type_symbol
_atom_site_fract_x
_atom_site_fract_y
_atom_site_fract_z
Hf1 Hf 0.000 0.000 0.000
Ga1 Ga 0.000 0.000 0.500
Hg1 Hg 0.500 0.500 0.500
```

***

Number 1: calculated formation energy 0.48 eV/atom, energy -6.16 eV/atom, total magnetic moment 0.00 μB/f.u.. Number 2: calculated formation energy 0.71 eV/atom, energy -2.07 eV/atom, total magnetic moment 0.00 μB/f.u.. Number 3: calculated formation energy 0.65 eV/atom, energy -2.13 eV/atom, total magnetic moment 0.00 μB/f.u.. Number 4: calculated formation energy 0.08 eV/atom, energy -6.86 eV/atom, total magnetic moment 0.00 μB/f.u.. Number 5: calculated formation energy 0.46 eV/atom, energy -4.15 eV/atom, total magnetic moment 0.00 μB/f.u.. Number 6: calculated formation energy 0.84 eV/atom, energy -3.02 eV/atom, total magnetic moment 0.00 μB/f.u.. Number 7: calculated formation energy 0.04 eV/atom, energy -6.60 eV/atom, total magnetic moment 0.00 μB/f.u.. Number 8: calculated formation energy 0.58 eV/atom, energy -3.29 eV/atom, total magnetic moment 0.00 μB/f.u..